! Ni3PtCl, optimized geometry, DFT GGA-PBE; values from VASP
! - ΔE_f (raw): 0.5372 eV/atom
! - Space-group type: Pm-3m
! - Energy relative to the lowest polymorph listed for this composition: 0 meV/atom
! - Volume: 13.84 Å³ per atom
&SYSTEM
  ibrav = 0, nat = 5, ntyp = 3
/
ATOMIC_SPECIES
Ni 58.69 Ni.upf
Pt 195.08 Pt.upf
Cl 35.45 Cl.upf
CELL_PARAMETERS angstrom
4.1060 0.0000 0.0000
0.0000 4.1060 0.0000
0.0000 0.0000 4.1060
ATOMIC_POSITIONS crystal
Ni 0.0000 0.0000 0.5000
Ni 0.5000 0.0000 0.0000
Ni 0.0000 0.5000 0.0000
Pt 0.5000 0.5000 0.5000
Cl 0.0000 0.0000 0.0000

***

! Sr2YMgH, optimized geometry, DFT GGA-PBE; values from VASP
! - Total energy: -2.986 eV/atom
! - Space-group type: P4/mmm
! - Volume: 30.08 Å³ per atom
&SYSTEM
  ibrav = 0, nat = 5, ntyp = 4
/
ATOMIC_SPECIES
H 1.01 H.upf
Sr 87.62 Sr.upf
Mg 24.30 Mg.upf
Y 88.91 Y.upf
CELL_PARAMETERS angstrom
5.7534 0.0000 0.0000
0.0000 5.7534 0.0000
0.0000 0.0000 4.5434
ATOMIC_POSITIONS crystal
H 0.0000 0.0000 0.0000
Sr 0.5000 0.0000 0.0000
Sr 0.0000 0.5000 0.0000
Mg 0.5000 0.5000 0.5000
Y 0.0000 0.0000 0.5000

***

! SrNClF2, optimized geometry, DFT GGA-PBE; values from VASP
! - ΔE_f (raw): -0.8134 eV/atom
! - Space-group type: P4/mmm
! - Energy relative to the lowest polymorph listed for this composition: 11 meV/atom
! - Volume: 16.38 Å³ per atom
&SYSTEM
  ibrav = 0, nat = 5, ntyp = 4
/
ATOMIC_SPECIES
F 19.00 F.upf
Sr 87.62 Sr.upf
N 14.01 N.upf
Cl 35.45 Cl.upf
CELL_PARAMETERS angstrom
-0.0399 -3.9261 -2.7863
-2.0006 -2.5209 3.5808
-3.2142 0.8716 -1.1821
ATOMIC_POSITIONS crystal
F 0.5000 0.0000 0.0000
F 0.0000 0.5000 0.0000
Sr 0.5000 0.5000 0.5000
N 0.0000 0.0000 0.5000
Cl 0.0000 0.0000 0.0000

***

! Ba2ReMo, optimized geometry, DFT GGA-PBE; values from VASP
! - Space-group type: I4/mmm
! - Energy relative to the lowest polymorph listed for this composition: 1227 meV/atom
! - E_form: 6.91 eV/f.u.
! - Volume: 28.09 Å³ per atom
&SYSTEM
  ibrav = 0, nat = 4, ntyp = 3
/
ATOMIC_SPECIES
Mo 95.94 Mo.upf
Re 186.21 Re.upf
Ba 137.33 Ba.upf
CELL_PARAMETERS angstrom
5.8395 0.0024 0.0000
1.7496 5.5712 0.0000
-3.7946 -2.7868 3.4547
ATOMIC_POSITIONS crystal
Mo 0.7500 0.2500 0.5000
Re 0.2500 0.7500 0.5000
Ba 0.5000 0.5000 0.0000
Ba 0.0000 0.0000 0.0000

***

! CeNbTc4, optimized geometry, DFT GGA-PBE; values from VASP
! - Space-group type: F-43m
! - E_form: 0.31 eV/f.u.
! - Volume: 17.65 Å³ per atom
&SYSTEM
  ibrav = 0, nat = 6, ntyp = 3
/
ATOMIC_SPECIES
Tc 98.00 Tc.upf
Ce 140.12 Ce.upf
Nb 92.91 Nb.upf
CELL_PARAMETERS angstrom
5.3110 0.0000 0.0000
2.6555 4.5994 0.0000
2.6555 1.5331 4.3364
ATOMIC_POSITIONS crystal
Tc 0.6257 0.1228 0.6257
Tc 0.6257 0.6257 0.1228
Tc 0.1228 0.6257 0.6257
Tc 0.6257 0.6257 0.6257
Ce 0.2500 0.2500 0.2500
Nb 0.0000 0.0000 0.0000

***

! Si2OsPb, optimized geometry, DFT GGA-PBE; values from VASP
! - ΔE_f (raw): 0.1285 eV/atom
! - Space-group type: Cm
! - Volume: 20.42 Å³ per atom
&SYSTEM
  ibrav = 0, nat = 4, ntyp = 3
/
ATOMIC_SPECIES
Si 28.09 Si.upf
Pb 207.20 Pb.upf
Os 190.23 Os.upf
CELL_PARAMETERS angstrom
-3.0496 0.1227 -3.3290
-0.5203 -1.4153 -4.2572
-3.2769 -5.6004 0.3499
ATOMIC_POSITIONS crystal
Si 0.1892 0.1892 0.3570
Si 0.0104 0.0104 0.0512
Pb 0.8233 0.8233 0.7519
Os 0.4771 0.4771 0.3398

***

! PmThGa2, optimized geometry, DFT GGA-PBE; values from VASP
! - Space-group type: Amm2
! - E_form: -2.23 eV/f.u.
! - Volume: 25.79 Å³ per atom
&SYSTEM
  ibrav = 0, nat = 4, ntyp = 3
/
ATOMIC_SPECIES
Pm 145.00 Pm.upf
Th 232.04 Th.upf
Ga 69.72 Ga.upf
CELL_PARAMETERS angstrom
4.4281 0.0000 -0.0285
0.0000 4.1359 0.0000
-2.1737 0.0000 5.6460
ATOMIC_POSITIONS crystal
Pm 0.7243 0.0000 0.9880
Th 0.4404 0.5000 0.4194
Ga 0.1555 0.5000 0.8504
Ga 0.0108 0.0000 0.5602

***

! Ce12HgAu6, optimized geometry, DFT GGA-PBE; values from VASP
! - Space-group type: R-3
! - E_form: -6.12 eV/f.u.
! - Volume: 25.36 Å³ per atom
&SYSTEM
  ibrav = 0, nat = 19, ntyp = 3
/
ATOMIC_SPECIES
Au 196.97 Au.upf
Ce 140.12 Ce.upf
Hg 200.59 Hg.upf
CELL_PARAMETERS angstrom
7.8175 0.4281 0.5128
-0.7620 7.7920 0.5128
-0.7620 -0.8878 7.7583
ATOMIC_POSITIONS crystal
Au 0.8664 0.2533 0.7307
Au 0.2533 0.7307 0.8664
Au 0.7467 0.2693 0.1336
Au 0.7307 0.8664 0.2533
Au 0.1336 0.7467 0.2693
Au 0.2693 0.1336 0.7467
Ce 0.8643 0.6134 0.9635
Ce 0.6134 0.9635 0.8643
Ce 0.5500 0.4524 0.8396
Ce 0.4500 0.5476 0.1604
Ce 0.0365 0.1357 0.3866
Ce 0.1604 0.4500 0.5476
Ce 0.5476 0.1604 0.4500
Ce 0.8396 0.5500 0.4524
Ce 0.3866 0.0365 0.1357
Ce 0.4524 0.8396 0.5500
Ce 0.1357 0.3866 0.0365
Ce 0.9635 0.8643 0.6134
Hg 0.0000 0.0000 0.0000

***

! KZn3, optimized geometry, DFT GGA-PBE; values from VASP
! - Space-group type: C2/m
! - Energy relative to the lowest polymorph listed for this composition: 0 meV/atom
! - E_form: -0.12 eV/f.u.
! - Volume: 26.26 Å³ per atom
&SYSTEM
  ibrav = 0, nat = 4, ntyp = 2
/
ATOMIC_SPECIES
K 39.10 K.upf
Zn 65.41 Zn.upf
CELL_PARAMETERS angstrom
4.2477 0.0000 1.2410
1.8917 3.7382 1.4152
0.3477 -0.0767 6.7000
ATOMIC_POSITIONS crystal
K 0.0000 0.0000 0.0000
Zn 0.1792 0.1796 0.4620
Zn 0.5000 0.5000 0.5000
Zn 0.8208 0.8204 0.5380

***

! SrTcW, optimized geometry, DFT GGA-PBE; values from VASP
! - Space-group type: P3m1
! - Energy relative to the lowest polymorph listed for this composition: 522 meV/atom
! - E_form: 3.45 eV/f.u.
! - Volume: 19.52 Å³ per atom
&SYSTEM
  ibrav = 0, nat = 3, ntyp = 3
/
ATOMIC_SPECIES
Tc 98.00 Tc.upf
W 183.84 W.upf
Sr 87.62 Sr.upf
CELL_PARAMETERS angstrom
4.8783 0.0000 0.0000
-2.4391 4.2247 0.0000
0.0000 0.0000 2.8416
ATOMIC_POSITIONS crystal
Tc 0.6667 0.3333 0.3779
W 0.3333 0.6667 0.6124
Sr 0.0000 0.0000 0.0097

***

! SrCaMn2Tl, optimized geometry, DFT GGA-PBE; values from VASP
! - Space-group type: P4/mmm
! - E_form: 5.77 eV/f.u.
! - Volume: 35.29 Å³ per atom
&SYSTEM
  ibrav = 0, nat = 5, ntyp = 4
/
ATOMIC_SPECIES
Mn 54.94 Mn.upf
Sr 87.62 Sr.upf
Ca 40.08 Ca.upf
Tl 204.38 Tl.upf
CELL_PARAMETERS angstrom
-5.4344 -0.1713 -0.2227
0.2219 -5.8875 -0.8879
-0.1946 -0.8182 5.3763
ATOMIC_POSITIONS crystal
Mn 0.0000 0.0000 0.5000
Mn 0.5000 0.0000 0.0000
Sr 0.0000 0.0000 0.0000
Ca 0.5000 0.5000 0.5000
Tl 0.0000 0.5000 0.0000

***

! Ba2LiTl2Hg6, optimized geometry, DFT GGA-PBE; values from VASP
! - Space-group type: C2/m
! - E_form: -3.13 eV/f.u.
! - Volume: 30.63 Å³ per atom
&SYSTEM
  ibrav = 0, nat = 11, ntyp = 4
/
ATOMIC_SPECIES
Hg 200.59 Hg.upf
Ba 137.33 Ba.upf
Tl 204.38 Tl.upf
Li 6.94 Li.upf
CELL_PARAMETERS angstrom
-0.8434 5.7123 -1.3033
-5.5144 -4.5624 -2.9856
-3.2754 1.1695 7.2456
ATOMIC_POSITIONS crystal
Hg 0.6893 0.3785 0.6242
Hg 0.3107 0.6215 0.3758
Hg 0.1842 0.8765 0.1440
Hg 0.3077 0.1235 0.8560
Hg 0.6923 0.8765 0.1440
Hg 0.8158 0.1235 0.8560
Ba 0.2952 0.5905 0.7996
Ba 0.7048 0.4095 0.2004
Tl 0.0967 0.1934 0.4223
Tl 0.9033 0.8066 0.5777
Li 0.5000 0.0000 0.5000

***

! RbBaF, optimized geometry, DFT GGA-PBE; values from VASP
! - ΔE_f (raw): -1.7412 eV/atom
! - Space-group type: P-6m2
! - Energy relative to the lowest polymorph listed for this composition: 104 meV/atom
! - Volume: 52.14 Å³ per atom
&SYSTEM
  ibrav = 0, nat = 3, ntyp = 3
/
ATOMIC_SPECIES
Rb 85.47 Rb.upf
Ba 137.33 Ba.upf
F 19.00 F.upf
CELL_PARAMETERS angstrom
4.5416 0.0000 0.0000
-2.2708 3.9331 0.0000
0.0000 0.0000 8.7577
ATOMIC_POSITIONS crystal
Rb 0.0000 0.0000 0.9999
Ba 0.6667 0.3333 0.4999
F 0.3333 0.6667 0.5002

***

! MgV3Os, optimized geometry, DFT GGA-PBE; values from VASP
! - Space-group type: Pm-3m
! - Energy relative to the lowest polymorph listed for this composition: 0 meV/atom
! - E_form: 4.62 eV/f.u.
! - Volume: 19.84 Å³ per atom
&SYSTEM
  ibrav = 0, nat = 5, ntyp = 3
/
ATOMIC_SPECIES
V 50.94 V.upf
Os 190.23 Os.upf
Mg 24.30 Mg.upf
CELL_PARAMETERS angstrom
4.6294 0.0000 0.0000
0.0000 4.6294 0.0000
0.0000 0.0000 4.6294
ATOMIC_POSITIONS crystal
V 0.0000 0.5000 0.0000
V 0.5000 0.0000 0.0000
V 0.0000 0.0000 0.5000
Os 0.0000 0.0000 0.0000
Mg 0.5000 0.5000 0.5000

***

! K3Ga5I12, optimized geometry, DFT GGA-PBE; values from VASP
! - ΔE_f (raw): -0.6949 eV/atom
! - Space-group type: Ia-3d
! - Volume: 44.96 Å³ per atom
&SYSTEM
  ibrav = 0, nat = 80, ntyp = 3
/
ATOMIC_SPECIES
Ga 69.72 Ga.upf
K 39.10 K.upf
I 126.90 I.upf
CELL_PARAMETERS angstrom
-12.9473 10.5216 -1.0806
-5.6552 -15.6257 1.8332
9.4257 4.0981 13.1858
ATOMIC_POSITIONS crystal
Ga 0.5000 0.5000 0.0000
Ga 0.3750 0.1250 0.7500
Ga 0.1250 0.7500 0.3750
Ga 0.0000 0.0000 0.0000
Ga 0.0000 0.5000 0.5000
Ga 0.2500 0.3750 0.6250
Ga 0.0000 0.5000 0.0000
Ga 0.8750 0.2500 0.6250
Ga 0.3750 0.2500 0.1250
Ga 0.5000 0.0000 0.5000
Ga 0.8750 0.6250 0.7500
Ga 0.5000 0.5000 0.5000
Ga 0.6250 0.7500 0.8750
Ga 0.0000 0.0000 0.5000
Ga 0.7500 0.1250 0.8750
Ga 0.7500 0.6250 0.3750
Ga 0.2500 0.8750 0.1250
Ga 0.1250 0.3750 0.2500
Ga 0.5000 0.0000 0.0000
Ga 0.6250 0.8750 0.2500
K 0.6250 0.3750 0.7500
K 0.3750 0.6250 0.2500
K 0.6250 0.2500 0.3750
K 0.3750 0.7500 0.6250
K 0.7500 0.3750 0.1250
K 0.8750 0.7500 0.1250
K 0.8750 0.1250 0.2500
K 0.2500 0.1250 0.3750
K 0.7500 0.8750 0.6250
K 0.1250 0.8750 0.7500
K 0.2500 0.6250 0.8750
K 0.1250 0.2500 0.8750
I 0.4848 0.7970 0.8839
I 0.8121 0.8991 0.0152
I 0.5870 0.7030 0.6879
I 0.6161 0.6009 0.9130
I 0.7030 0.1161 0.0152
I 0.9130 0.8121 0.7970
I 0.8839 0.5870 0.8991
I 0.1161 0.7030 0.5152
I 0.8121 0.9130 0.2970
I 0.0152 0.3991 0.8121
I 0.4848 0.6879 0.1009
I 0.3991 0.0152 0.3121
I 0.9848 0.6009 0.1879
I 0.3121 0.7970 0.4130
I 0.3839 0.3991 0.0870
I 0.6009 0.6161 0.4130
I 0.5152 0.3121 0.8991
I 0.8991 0.0870 0.8839
I 0.1879 0.0870 0.7030
I 0.3839 0.9848 0.7970
I 0.2030 0.5152 0.6161
I 0.6879 0.2030 0.5870
I 0.5870 0.8839 0.3991
I 0.7970 0.3121 0.9130
I 0.9130 0.1009 0.6161
I 0.0870 0.8991 0.3839
I 0.6161 0.0152 0.2030
I 0.6009 0.9848 0.6879
I 0.1009 0.9130 0.1161
I 0.7030 0.5870 0.1879
I 0.1161 0.4130 0.1009
I 0.6879 0.4848 0.6009
I 0.2030 0.6879 0.0870
I 0.2970 0.8839 0.9848
I 0.5152 0.2030 0.1161
I 0.3121 0.5152 0.3991
I 0.8839 0.2970 0.4848
I 0.7970 0.4848 0.3839
I 0.0152 0.6161 0.7030
I 0.3991 0.3839 0.5870
I 0.9848 0.3839 0.2970
I 0.4130 0.1161 0.6009
I 0.1879 0.1009 0.9848
I 0.0870 0.1879 0.2030
I 0.4130 0.2970 0.3121
I 0.1009 0.1879 0.4848
I 0.8991 0.8121 0.5152
I 0.2970 0.4130 0.8121

***

! Tb2Tm3Zr2, optimized geometry, DFT GGA-PBE; values from VASP
! - Space-group type: Cmmm
! - E_form: 0.28 eV/f.u.
! - Volume: 28.57 Å³ per atom
&SYSTEM
  ibrav = 0, nat = 7, ntyp = 3
/
ATOMIC_SPECIES
Tm 168.93 Tm.upf
Zr 91.22 Zr.upf
Tb 158.93 Tb.upf
CELL_PARAMETERS angstrom
5.1075 0.0000 0.6778
0.0000 3.3821 0.0000
1.0441 0.0000 11.7144
ATOMIC_POSITIONS crystal
Tm 0.8429 0.0000 0.3141
Tm 0.0000 0.0000 0.0000
Tm 0.1571 0.0000 0.6859
Zr 0.7206 0.5000 0.5588
Zr 0.2794 0.5000 0.4412
Tb 0.5769 0.5000 0.8463
Tb 0.4231 0.5000 0.1537

***

! Ce2Ga4HgPd3, optimized geometry, DFT GGA-PBE; values from VASP
! - Space-group type: P-4m2
! - E_form: -6.39 eV/f.u.
! - Volume: 20.02 Å³ per atom
&SYSTEM
  ibrav = 0, nat = 10, ntyp = 4
/
ATOMIC_SPECIES
Ga 69.72 Ga.upf
Pd 106.42 Pd.upf
Hg 200.59 Hg.upf
Ce 140.12 Ce.upf
CELL_PARAMETERS angstrom
-3.7507 -0.5340 2.1127
2.1176 -1.8854 3.2829
1.2610 9.4927 4.6383
ATOMIC_POSITIONS crystal
Ga 0.0000 0.5000 0.3570
Ga 0.5000 0.5000 0.0000
Ga 0.0000 0.0000 0.0000
Ga 0.5000 0.0000 0.6430
Pd 0.5000 0.0000 0.8736
Pd 0.0000 0.5000 0.1264
Pd 0.0000 0.0000 0.5000
Hg 0.5000 0.5000 0.5000
Ce 0.0000 0.5000 0.7613
Ce 0.5000 0.0000 0.2387

***

! CdHgHRh, optimized geometry, DFT GGA-PBE; values from VASP
! - Total energy: -3.042 eV/atom
! - Space-group type: Amm2
! - Volume: 15.73 Å³ per atom
&SYSTEM
  ibrav = 0, nat = 4, ntyp = 4
/
ATOMIC_SPECIES
H 1.01 H.upf
Rh 102.91 Rh.upf
Cd 112.41 Cd.upf
Hg 200.59 Hg.upf
CELL_PARAMETERS angstrom
-1.0304 1.8785 -3.5847
-3.0367 -0.4944 0.6138
0.2882 3.2832 4.0704
ATOMIC_POSITIONS crystal
H 0.3581 0.0000 0.7162
Rh 0.4369 0.5000 0.8739
Cd 0.0417 0.0000 0.0834
Hg 0.7329 0.5000 0.4657

***

! NaAlZn3, optimized geometry, DFT GGA-PBE; values from VASP
! - Space-group type: Cmcm
! - Energy relative to the lowest polymorph listed for this composition: 0 meV/atom
! - E_form: 0.16 eV/f.u.
! - Volume: 18.97 Å³ per atom
&SYSTEM
  ibrav = 0, nat = 10, ntyp = 3
/
ATOMIC_SPECIES
Zn 65.41 Zn.upf
Al 26.98 Al.upf
Na 22.99 Na.upf
CELL_PARAMETERS angstrom
-1.0435 5.0851 -1.3559
-2.1195 -1.7749 -5.0254
-4.5430 0.4126 5.0434
ATOMIC_POSITIONS crystal
Zn 0.7500 0.0885 0.6934
Zn 0.2500 0.9115 0.3066
Zn 0.2500 0.8167 0.6335
Zn 0.7500 0.1833 0.3665
Zn 0.2500 0.3951 0.3066
Zn 0.7500 0.6049 0.6934
Al 0.5000 0.0000 0.0000
Al 0.0000 0.0000 0.0000
Na 0.7500 0.5957 0.1913
Na 0.2500 0.4043 0.8087

***

! ScHgCl2, optimized geometry, DFT GGA-PBE; values from VASP
! - ΔE_f (raw): -1.2612 eV/atom
! - Space-group type: Immm
! - Energy relative to the lowest polymorph listed for this composition: 128 meV/atom
! - Volume: 28.82 Å³ per atom
&SYSTEM
  ibrav = 0, nat = 4, ntyp = 3
/
ATOMIC_SPECIES
Hg 200.59 Hg.upf
Cl 35.45 Cl.upf
Sc 44.96 Sc.upf
CELL_PARAMETERS angstrom
6.7453 0.1310 -0.0187
3.2686 5.9019 0.0187
-4.1381 -4.4586 2.9178
ATOMIC_POSITIONS crystal
Hg 0.7500 0.2500 0.5000
Cl 0.4076 0.4076 0.0000
Cl 0.0924 0.0924 0.0000
Sc 0.2500 0.7500 0.5000